a) Computed, not measured: crystalline Sc8Ag2Sn at its relaxed geometry at the GGA-PBE level of DFT.

a = 4.980 Å, b = 7.917 Å, c = 7.917 Å
α = 118.20°, β = 100.41°, γ = 100.41°
Fractional positions:
1 Sc 0.892 0.905 0.678
2 Sc 0.892 0.678 0.905
3 Sc 0.301 0.599 0.599
4 Sc 0.500 0.774 0.226
5 Sc 0.500 0.226 0.774
6 Sc 0.699 0.401 0.401
7 Sc 0.108 0.322 0.095
8 Sc 0.108 0.095 0.322
9 Ag 0.000 0.305 0.695
10 Ag 0.000 0.695 0.305
11 Sn 0.500 0.000 0.000

Summary:
The space group is No. 12. As for the theoretical density: 4.5 g/cm³.



b) Computed, not measured: crystalline Sc8Ag2Sn at its relaxed geometry at the GGA-PBE level of DFT.

a = 4.744 Å, b = 7.651 Å, c = 8.040 Å
α = 115.74°, β = 107.16°, γ = 90.00°
Fractional positions:
1 Sc 0.598 0.462 0.197
2 Sc 0.314 0.043 0.628
3 Sc 0.152 0.209 0.304
4 Sc 0.059 0.729 0.118
5 Sc 0.848 0.791 0.696
6 Sc 0.686 0.957 0.372
7 Sc 0.402 0.538 0.803
8 Sc 0.941 0.271 0.882
9 Ag 0.211 0.623 0.423
10 Ag 0.789 0.377 0.577
11 Sn 0.500 0.000 0.000

Summary:
The space group is No. 12. As for the theoretical density: 4.6 g/cm³.



b) is favored, and the nearest alternative lies 104 meV per atom above it.



a) Computed, not measured: crystalline SrScAg2 at its relaxed geometry at the GGA-PBE level of DFT.

a = 8.210 Å, b = 5.231 Å, c = 3.583 Å
α = 89.88°, β = 64.29°, γ = 129.50°
Fractional positions:
1 Ag 0.000 0.000 0.000
2 Ag 0.500 0.000 0.500
3 Sc 0.000 0.500 0.500
4 Sr 0.500 0.500 0.000

Summary:
The space group is No. 12. As for the theoretical density: 5.9 g/cm³.



b) Computed, not measured: crystalline SrScAg2 at its relaxed geometry at the GGA-PBE level of DFT.

a = 6.344 Å, b = 6.344 Å, c = 6.344 Å
α = 148.02°, β = 131.95°, γ = 58.88°
Fractional positions:
1 Ag 0.973 0.973 0.000
2 Ag 0.760 0.260 0.500
3 Sc 0.530 0.530 0.000
4 Sr 0.237 0.737 0.500

Summary:
The space group is No. 44. As for the theoretical density: 5.8 g/cm³.



a) is favored, and the nearest alternative lies 121 meV per atom above it.



a) Computed, not measured: crystalline SrScAg2 at its relaxed geometry at the GGA-PBE level of DFT.

a = 5.199 Å, b = 5.199 Å, c = 5.199 Å
α = 60.00°, β = 60.00°, γ = 60.00°
Fractional positions:
1 Sc 0.000 0.000 0.000
2 Sr 0.500 0.500 0.500
3 Ag 0.250 0.250 0.250
4 Ag 0.750 0.750 0.750

Summary:
The space group is No. 225. As for the theoretical density: 5.8 g/cm³.



b) Computed, not measured: crystalline SrScAg2 at its relaxed geometry at the GGA-PBE level of DFT.

a = 4.875 Å, b = 4.875 Å, c = 6.001 Å
α = 66.08°, β = 66.08°, γ = 60.04°
Fractional positions:
1 Ag 0.046 0.046 0.861
2 Ag 0.454 0.454 0.639
3 Sc 0.750 0.750 0.750
4 Sr 0.250 0.250 0.250

Summary:
The space group is No. 166. As for the theoretical density: 5.3 g/cm³.



b) is favored, and the nearest alternative lies 52 meV per atom above it.



a) Computed, not measured: crystalline SrScAg2 at its relaxed geometry at the GGA-PBE level of DFT.

a = 7.996 Å, b = 7.996 Å, c = 6.672 Å
α = 53.19°, β = 53.19°, γ = 90.00°
Fractional positions:
1 Sc 0.500 0.500 0.000
2 Sc 0.250 0.750 0.500
3 Sr 0.000 0.000 0.000
4 Sr 0.750 0.250 0.500
5 Ag 0.584 0.125 0.250
6 Ag 0.166 0.625 0.250
7 Ag 0.375 0.416 0.750
8 Ag 0.875 0.834 0.750

Summary:
The space group is No. 122. As for the theoretical density: 5.1 g/cm³.



b) Computed, not measured: crystalline SrScAg2 at its relaxed geometry at the GGA-PBE level of DFT.

a = 5.061 Å, b = 5.061 Å, c = 5.061 Å
α = 60.00°, β = 60.00°, γ = 60.00°
Fractional positions:
1 Ag 0.000 0.000 0.000
2 Ag 0.250 0.250 0.250
3 Sc 0.500 0.500 0.500
4 Sr 0.750 0.750 0.750

Summary:
The space group is No. 216. As for the theoretical density: 6.3 g/cm³.



c) Computed, not measured: crystalline SrScAg2 at its relaxed geometry at the GGA-PBE level of DFT.

a = 3.690 Å, b = 3.685 Å, c = 7.603 Å
α = 90.00°, β = 90.00°, γ = 90.00°
Fractional positions:
1 Ag 0.000 0.000 0.049
2 Ag 0.500 0.500 0.244
3 Sc 0.000 0.000 0.421
4 Sr 0.500 0.500 0.786

Summary:
The space group is No. 99. As for the theoretical density: 5.6 g/cm³.



d) Computed, not measured: crystalline SrScAg2 at its relaxed geometry at the GGA-PBE level of DFT.

a = 3.600 Å, b = 3.666 Å, c = 8.348 Å
α = 63.84°, β = 90.00°, γ = 90.00°
Fractional positions:
1 Sc 0.500 0.250 0.250
2 Sr 0.500 0.750 0.750
3 Ag 0.000 0.949 0.051
4 Ag 0.000 0.551 0.449

Summary:
The space group is No. 10. As for the theoretical density: 5.8 g/cm³.



d) is favored, and the nearest alternative lies 167 meV per atom above it.